# Dy2CdReO8

A relaxed Dy2CdReO8 crystal (PBE, Alexandria).

```
Dy2CdReO8
1.0
4.9494 -0.1028 -0.0027
-0.0880 4.9520 -0.0044
0.0044 0.0084 7.0331
Dy Cd Re O
2 1 1 8
direct
0.4996 0.4997 0.7476 Dy
0.5004 0.5003 0.2524 Dy
0.0000 0.0000 0.5000 Cd
0.0000 0.0000 0.0000 Re
0.1848 0.8155 0.1927 O
0.7219 0.7208 0.9997 O
0.8147 0.1836 0.1929 O
0.8152 0.1845 0.8073 O
0.2781 0.2792 0.0003 O
0.1853 0.8164 0.8071 O
0.6967 0.6956 0.5002 O
0.3033 0.3044 0.4998 O
```

Output
magnetization = 0.8 μB/cell
formation energy without anion corrections = -25.82 eV/f.u.